1.
# Tm3PbO6 (GGA-PBE, optimized geometry)
data_Tm3PbO6
_cell_length_a 9.7014
_cell_length_b 9.7014
_cell_length_c 11.1288
_cell_angle_alpha 90.00
_cell_angle_beta 90.00
_cell_angle_gamma 120.00
_space_group_name_H-M_alt 'R -3'
_space_group_IT_number 148
_space_group_name_Hall '-R 3'
loop_
_atom_site_label
_atom_site_fract_x
_atom_site_fract_y
_atom_site_fract_z
Tm1 0.0418 0.7754 0.2077
Pb1 0.0000 0.0000 0.0000
Pb2 0.0000 0.0000 0.5000
O1 0.0276 0.7824 0.4023
O2 0.0312 0.8461 0.8704
# Energy relative to the elements, uncorrected in eV per atom: -2.94
# M_tot in Bohr magnetons per cell: 0.0
# Offset from the most stable computed form in meV/atom: 0

2.
# NiHSe2 (GGA-PBE, optimized geometry)
data_NiHSe2
_cell_length_a 3.6507
_cell_length_b 3.6507
_cell_length_c 5.7947
_cell_angle_alpha 90.00
_cell_angle_beta 90.00
_cell_angle_gamma 120.00
_space_group_name_H-M_alt 'P 3 m 1'
_space_group_IT_number 156
_space_group_name_Hall 'P 3 -2"'
loop_
_atom_site_label
_atom_site_fract_x
_atom_site_fract_y
_atom_site_fract_z
Ni1 0.0000 0.0000 0.0000
H1 0.3333 0.6667 0.5352
Se1 0.3333 0.6667 0.8011
Se2 0.6667 0.3333 0.2221
# M_tot in Bohr magnetons per cell: 0.0
# Offset from the most stable computed form in meV/atom: 74

3.
# Fe8IrRh6 (GGA-PBE, optimized geometry)
data_Fe8IrRh6
_cell_length_a 6.6769
_cell_length_b 6.6769
_cell_length_c 15.7849
_cell_angle_alpha 90.00
_cell_angle_beta 90.00
_cell_angle_gamma 120.00
_space_group_name_H-M_alt 'R -3'
_space_group_IT_number 148
_space_group_name_Hall '-R 3'
loop_
_atom_site_label
_atom_site_fract_x
_atom_site_fract_y
_atom_site_fract_z
Fe1 0.0000 0.0000 0.0759
Fe2 0.0567 0.7939 0.6325
Ir1 0.0000 0.0000 0.5000
Rh1 0.0180 0.2492 0.2125
# Energy of formation in eV per atom: 0.0847
# M_tot in Bohr magnetons per cell: 78.1

4.
# TmCdSnPb (GGA-PBE, optimized geometry)
data_TmCdSnPb
_cell_length_a 4.4310
_cell_length_b 4.7562
_cell_length_c 4.8550
_cell_angle_alpha 90.00
_cell_angle_beta 90.00
_cell_angle_gamma 90.00
_space_group_name_H-M_alt 'P m m m'
_space_group_IT_number 47
_space_group_name_Hall '-P 2 2'
loop_
_atom_site_label
_atom_site_fract_x
_atom_site_fract_y
_atom_site_fract_z
Tm1 0.0000 0.0000 0.0000
Cd1 0.0000 0.5000 0.5000
Sn1 0.5000 0.5000 0.0000
Pb1 0.5000 0.0000 0.5000
# Energy of formation in eV per atom: -0.3169
# M_tot in Bohr magnetons per cell: 0.0

5.
# HgOsS2 (GGA-PBE, optimized geometry)
data_HgOsS2
_cell_length_a 3.6159
_cell_length_b 3.6159
_cell_length_c 22.8366
_cell_angle_alpha 90.00
_cell_angle_beta 90.00
_cell_angle_gamma 120.00
_space_group_name_H-M_alt 'R -3 m'
_space_group_IT_number 166
_space_group_name_Hall '-R 3 2"'
loop_
_atom_site_label
_atom_site_fract_x
_atom_site_fract_y
_atom_site_fract_z
Hg1 0.0000 0.0000 0.0000
Os1 0.0000 0.0000 0.5000
S1 0.0000 0.0000 0.1170
# Energy relative to the elements, uncorrected in eV per atom: -0.02
# M_tot in Bohr magnetons per cell: 0.0

6.
# KZnAg (GGA-PBE, optimized geometry)
data_KZnAg
_cell_length_a 3.2044
_cell_length_b 4.1115
_cell_length_c 12.0775
_cell_angle_alpha 90.00
_cell_angle_beta 90.00
_cell_angle_gamma 90.00
_space_group_name_H-M_alt 'I m m 2'
_space_group_IT_number 44
_space_group_name_Hall 'I 2 -2'
loop_
_atom_site_label
_atom_site_fract_x
_atom_site_fract_y
_atom_site_fract_z
K1 0.0000 0.0000 0.0000
Zn1 0.0000 0.0000 0.7244
Ag1 0.0000 0.0000 0.2770
# Energy of formation in eV per atom: 0.0689
# M_tot in Bohr magnetons per cell: 0.0
# Offset from the most stable computed form in meV/atom: 88

7.
# LiSc3Nb (GGA-PBE, optimized geometry)
data_LiSc3Nb
_cell_length_a 4.7818
_cell_length_b 4.7818
_cell_length_c 4.7818
_cell_angle_alpha 90.00
_cell_angle_beta 90.00
_cell_angle_gamma 90.00
_space_group_name_H-M_alt 'P m -3 m'
_space_group_IT_number 221
_space_group_name_Hall '-P 4 2 3'
loop_
_atom_site_label
_atom_site_fract_x
_atom_site_fract_y
_atom_site_fract_z
Li1 0.0000 0.0000 0.0000
Sc1 0.0000 0.0000 0.5000
Nb1 0.5000 0.5000 0.5000
# Energy of formation in eV per atom: 0.8126
# M_tot in Bohr magnetons per cell: 0.0
# Offset from the most stable computed form in meV/atom: 214

8.
# Y2PuPb (GGA-PBE, optimized geometry)
data_Y2PuPb
_cell_length_a 3.6006
_cell_length_b 3.6006
_cell_length_c 9.0448
_cell_angle_alpha 90.00
_cell_angle_beta 90.00
_cell_angle_gamma 90.00
_space_group_name_H-M_alt 'P 4/m m m'
_space_group_IT_number 123
_space_group_name_Hall '-P 4 2'
loop_
_atom_site_label
_atom_site_fract_x
_atom_site_fract_y
_atom_site_fract_z
Y1 0.0000 0.0000 0.2381
Pu1 0.5000 0.5000 0.5000
Pb1 0.5000 0.5000 0.0000
# Energy of formation in eV per atom: -0.1212
# M_tot in Bohr magnetons per cell: 6.3
# Offset from the most stable computed form in meV/atom: 68